No. 1
Here is a geometry-optimized Rb2La2I7 structure from Alexandria via LeMat-Bulk. Energies are from PBE-GGA.

Lattice parameters (Å, degrees): 8.3668 8.3668 8.5093 96.67 96.67 71.23
With the nearest neighbours (Å) after each atom.
Fractional positions:
Rb1 0.2382 0.7618 0.0000  2 I 3.51
Rb2 0.7618 0.2382 0.0000  2 I 3.51
La1 0.2438 0.2438 0.5343  6 I 3.11-3.29
La2 0.7562 0.7562 0.4657  6 I 3.11-3.29
I1 0.0000 0.0000 0.5000  2 La 3.29
I2 0.0485 0.4886 0.2525  2 La 3.27-3.29
I3 0.4593 0.4593 0.7149  1 La 3.11
I4 0.4886 0.0485 0.2525  2 La 3.27-3.29
I5 0.5114 0.9515 0.7475  2 La 3.27-3.29
I6 0.5407 0.5407 0.2851  1 La 3.11
I7 0.9515 0.5114 0.7475  2 La 3.27-3.29

Properties
Fermi-level density of states: 0.62 states/eV/atom
Uncorrected energy: -37.8 eV per cell
SG: C2/m, No. 12
Uncorrected formation energy: -1.37 eV/atom


No. 2
Here is a geometry-optimized Rb2LaI6 structure from Alexandria via LeMat-Bulk. Energies are from PBE-GGA.

Lattice parameters (Å, degrees): 4.9876 9.5698 9.5698 120.63 90.00 90.00
With the nearest neighbours (Å) after each atom.
Fractional positions:
Rb1 0.0000 0.1683 0.8317  9 I 3.71-4.00
Rb2 0.0000 0.8317 0.1683  9 I 3.71-4.00
La1 0.5000 0.5057 0.5057  9 I 3.36-3.43
I1 0.0000 0.2665 0.5013  2 La 3.37, 2 Rb 3.73-3.74
I2 0.0000 0.5013 0.2665  2 La 3.37, 2 Rb 3.73-3.74
I3 0.0000 0.7433 0.7433  2 La 3.36, 2 Rb 3.71
I4 0.5000 0.1462 0.1462  1 La 3.41
I5 0.5000 0.4994 0.8604  1 La 3.43
I6 0.5000 0.8604 0.4994  1 La 3.43

Properties
Fermi-level density of states: 1.51 states/eV/atom
Uncorrected energy: -27.5 eV per cell
SG: Amm2, No. 38
Uncorrected formation energy: -1.26 eV/atom


No. 3
Here is a geometry-optimized RbLaI4 structure from Alexandria via LeMat-Bulk. Energies are from PBE-GGA.

Lattice parameters (Å, degrees): 12.2041 12.2041 8.6225 90.00 90.00 149.73
With the nearest neighbours (Å) after each atom.
Fractional positions:
Rb1 0.1760 0.8240 0.5000  6 I 3.71-4.06
Rb2 0.8240 0.1760 0.0000  6 I 3.71-4.06
La1 0.4075 0.5925 0.5709  6 I 3.08-3.26
La2 0.5925 0.4075 0.0709  6 I 3.08-3.26
I1 0.0887 0.9113 0.0946  2 La 3.19
I2 0.2975 0.7025 0.7743  1 La 3.13
I3 0.3376 0.6624 0.2691  1 La 3.08
I4 0.4709 0.5291 0.9070  2 La 3.19-3.26
I5 0.5291 0.4709 0.4070  2 La 3.19-3.26
I6 0.6624 0.3376 0.7691  1 La 3.08
I7 0.7025 0.2975 0.2743  1 La 3.13
I8 0.9113 0.0887 0.5946  2 La 3.19

Properties
Fermi-level density of states: 0.00 states/eV/atom
Uncorrected energy: -42.1 eV per cell
SG: Cmc2_1, No. 36
Uncorrected formation energy: -1.49 eV/atom
Energy above the most stable polymorph in this dataset: 0.110 eV/f.u.


No. 4
Here is a geometry-optimized RbLaI3 structure from Alexandria via LeMat-Bulk. Energies are from PBE-GGA.

Lattice parameters (Å, degrees): 10.7322 10.7322 7.9637 90.00 90.00 72.29
With the nearest neighbours (Å) after each atom.
Fractional positions:
Rb1 0.1698 0.3302 0.2500  6 I 3.66-3.96
Rb2 0.3302 0.1698 0.7500  6 I 3.66-3.96
Rb3 0.6698 0.8302 0.2500  6 I 3.66-3.96
Rb4 0.8302 0.6698 0.7500  6 I 3.66-3.96
La1 0.2180 0.7820 0.3982  7 I 3.22-3.56
La2 0.2820 0.7180 0.8982  7 I 3.22-3.56
La3 0.7180 0.2820 0.1018  7 I 3.22-3.56
La4 0.7820 0.2180 0.6018  7 I 3.22-3.56
I1 0.0415 0.6736 0.1223  2 La 3.29-3.33, 1 Rb 3.66
I2 0.0531 0.9469 0.7208  3 La 3.22-3.56
I3 0.1736 0.5415 0.6223  2 La 3.29-3.33, 1 Rb 3.66
I4 0.3264 0.9585 0.1223  2 La 3.29-3.33, 1 Rb 3.66
I5 0.4469 0.5531 0.2208  3 La 3.22-3.56
I6 0.4585 0.8264 0.6223  2 La 3.29-3.33, 1 Rb 3.66
I7 0.5415 0.1736 0.3777  2 La 3.29-3.33, 1 Rb 3.66
I8 0.5531 0.4469 0.7792  3 La 3.22-3.56
I9 0.6736 0.0415 0.8777  2 La 3.29-3.33, 1 Rb 3.66
I10 0.8264 0.4585 0.3777  2 La 3.29-3.33, 1 Rb 3.66
I11 0.9469 0.0531 0.2792  3 La 3.22-3.56
I12 0.9585 0.3264 0.8777  2 La 3.29-3.33, 1 Rb 3.66

Properties
Fermi-level density of states: 0.25 states/eV/atom
Uncorrected energy: -69.3 eV per cell
SG: Cmce, No. 64
Uncorrected formation energy: -1.35 eV/atom
Energy above the most stable polymorph in this dataset: 0.253 eV/f.u.


No. 5
Here is a geometry-optimized RbLa2I8 structure from Alexandria via LeMat-Bulk. Energies are from PBE-GGA.

Lattice parameters (Å, degrees): 9.3414 9.3414 6.3256 90.08 90.08 114.93
With the nearest neighbours (Å) after each atom.
Fractional positions:
Rb1 0.0000 0.0000 0.0000  10 I 4.09-4.26
La1 0.3042 0.6958 0.5000  8 I 3.24-3.47
La2 0.6958 0.3042 0.5000  8 I 3.24-3.47
I1 0.0574 0.3238 0.5019  2 La 3.26-3.30
I2 0.2594 0.7406 0.0000  2 La 3.24
I3 0.3238 0.0574 0.5019  2 La 3.26-3.30
I4 0.4991 0.4991 0.2486  2 I 3.15-3.18, 2 La 3.47
I5 0.5009 0.5009 0.7514  2 I 3.15-3.18, 2 La 3.47
I6 0.6762 0.9426 0.4981  2 La 3.26-3.30
I7 0.7406 0.2594 0.0000  2 La 3.24
I8 0.9426 0.6762 0.4981  2 La 3.26-3.30

Properties
Fermi-level density of states: 0.17 states/eV/atom
Uncorrected energy: -38.1 eV per cell
SG: C2/m, No. 12
Uncorrected formation energy: -1.35 eV/atom


No. 6
Here is a geometry-optimized RbLaI2 structure from Alexandria via LeMat-Bulk. Energies are from PBE-GGA.

Lattice parameters (Å, degrees): 10.1525 10.1525 10.1525 24.33 24.33 24.33
With the nearest neighbours (Å) after each atom.
Fractional positions:
Rb1 0.0000 0.0000 0.0000  6 I 3.64
La1 0.5000 0.5000 0.5000  6 I 3.35
I1 0.2431 0.2431 0.2431  3 La 3.35, 3 Rb 3.64
I2 0.7569 0.7569 0.7569  3 La 3.35, 3 Rb 3.64

Properties
Fermi-level density of states: 0.58 states/eV/atom
Uncorrected energy: -13.5 eV per cell
SG: R-3m, No. 166
Uncorrected formation energy: -1.13 eV/atom
Energy above the most stable polymorph in this dataset: 0.000 eV/f.u.


No. 7
Here is a geometry-optimized Rb2LaI5 structure from Alexandria via LeMat-Bulk. Energies are from PBE-GGA.

Lattice parameters (Å, degrees): 15.0719 10.1626 9.5011 90.00 90.00 90.00
With the nearest neighbours (Å) after each atom.
Fractional positions:
Rb1 0.1717 0.0057 0.0673  8 I 3.75-4.11
Rb2 0.1717 0.4943 0.0673  8 I 3.75-4.11
Rb3 0.3283 0.5057 0.5673  8 I 3.75-4.11
Rb4 0.3283 0.9943 0.5673  8 I 3.75-4.11
Rb5 0.6717 0.0057 0.4327  8 I 3.75-4.11
Rb6 0.6717 0.4943 0.4327  8 I 3.75-4.11
Rb7 0.8283 0.5057 0.9327  8 I 3.75-4.11
Rb8 0.8283 0.9943 0.9327  8 I 3.75-4.11
La1 0.0054 0.2500 0.5763  7 I 3.22-3.32
La2 0.4946 0.7500 0.0763  7 I 3.22-3.32
La3 0.5054 0.2500 0.9237  7 I 3.22-3.32
La4 0.9946 0.7500 0.4237  7 I 3.22-3.32
I1 0.0088 0.2500 0.9205  1 La 3.27
I2 0.0707 0.5458 0.6687  2 La 3.28-3.32
I3 0.0707 0.9542 0.6687  2 La 3.28-3.32
I4 0.1824 0.2500 0.3854  1 La 3.23
I5 0.2028 0.7500 0.3484  1 La 3.22
I6 0.2972 0.2500 0.8484  1 La 3.22
I7 0.3176 0.7500 0.8854  1 La 3.23
I8 0.4293 0.0458 0.1687  2 La 3.28-3.32
I9 0.4293 0.4542 0.1687  2 La 3.28-3.32
I10 0.4912 0.7500 0.4205  1 La 3.27
I11 0.5088 0.2500 0.5795  1 La 3.27
I12 0.5707 0.5458 0.8313  2 La 3.28-3.32
I13 0.5707 0.9542 0.8313  2 La 3.28-3.32
I14 0.6824 0.2500 0.1146  1 La 3.23
I15 0.7028 0.7500 0.1516  1 La 3.22
I16 0.7972 0.2500 0.6516  1 La 3.22
I17 0.8176 0.7500 0.6146  1 La 3.23
I18 0.9293 0.0458 0.3313  2 La 3.28-3.32
I19 0.9293 0.4542 0.3313  2 La 3.28-3.32
I20 0.9912 0.7500 0.0795  1 La 3.27

Properties
Fermi-level density of states: 0.00 states/eV/atom
Uncorrected energy: -107.6 eV per cell
SG: Pnma, No. 62
Uncorrected formation energy: -1.54 eV/atom


No. 8
Here is a geometry-optimized Rb2LaI4 structure from Alexandria via LeMat-Bulk. Energies are from PBE-GGA.

Lattice parameters (Å, degrees): 10.3303 10.3303 10.3303 144.49 144.49 51.09
With the nearest neighbours (Å) after each atom.
Fractional positions:
Rb1 0.1337 0.1337 0.0000  5 I 3.61-4.02
Rb2 0.8663 0.8663 0.0000  5 I 3.61-4.02
La1 0.5000 0.5000 0.0000  6 I 3.15-3.22
I1 0.0000 0.5000 0.5000  2 La 3.15
I2 0.3272 0.3272 0.0000  1 La 3.22, 1 Rb 3.61
I3 0.5000 0.0000 0.5000  2 La 3.15
I4 0.6728 0.6728 0.0000  1 La 3.22, 1 Rb 3.61

Properties
Fermi-level density of states: 0.68 states/eV/atom
Uncorrected energy: -22.4 eV per cell
SG: I4/mmm, No. 139
Uncorrected formation energy: -1.34 eV/atom


No. 9
Here is a geometry-optimized Rb2LaRuI6 structure from Alexandria via LeMat-Bulk. Energies are from PBE-GGA.

Lattice parameters (Å, degrees): 8.3911 8.3911 8.3911 60.00 60.00 60.00
With the nearest neighbours (Å) after each atom.
Fractional positions:
Rb1 0.2500 0.2500 0.2500  12 I 4.20
Rb2 0.7500 0.7500 0.7500  12 I 4.20
La1 0.0000 0.0000 0.0000  6 I 3.14
Ru1 0.5000 0.5000 0.5000  6 I 2.79
I1 0.2649 0.2649 0.7351  1 Ru 2.79
I2 0.2649 0.7351 0.2649  1 Ru 2.79
I3 0.2649 0.7351 0.7351  1 Ru 2.79
I4 0.7351 0.2649 0.2649  1 Ru 2.79
I5 0.7351 0.2649 0.7351  1 Ru 2.79
I6 0.7351 0.7351 0.2649  1 Ru 2.79

Properties
Fermi-level density of states: 0.47 states/eV/atom
Uncorrected energy: -34.7 eV per cell
SG: Fm-3m, No. 225
Uncorrected formation energy: -0.93 eV/atom


No. 10
Here is a geometry-optimized RbLaSI2 structure from Alexandria via LeMat-Bulk. Energies are from PBE-GGA.

Lattice parameters (Å, degrees): 6.4970 6.4970 5.4145 90.00 90.00 90.00
With the nearest neighbours (Å) after each atom.
Fractional positions:
Rb1 0.0000 0.0000 0.0000  8 I 4.23, 4 S 4.59
La1 0.5000 0.5000 0.5000  2 S 2.71
S1 0.5000 0.5000 0.0000  2 La 2.71
I1 0.0000 0.5000 0.5000  2 La 3.25
I2 0.5000 0.0000 0.5000  2 La 3.25

Properties
Fermi-level density of states: 0.00 states/eV/atom
Uncorrected energy: -20.8 eV per cell
SG: P4/mmm, No. 123
Uncorrected formation energy: -1.54 eV/atom


uncorrected energy of number 7 (Rb2LaI5)?
-107.6 eV per cell


What is the formula in the second record?
Rb2LaI6